(1)
! CuNiBiS3 (PBE, relaxed); values from VASP
! Size of the total moment (μB/atom): 0.00
! Total DFT energy (no corrections) (eV/atom): -4.604
&SYSTEM
  ibrav = 0, nat = 24, ntyp = 4
/
ATOMIC_SPECIES
Cu 63.55 Cu.upf
Ni 58.69 Ni.upf
Bi 208.98 Bi.upf
S 32.06 S.upf
CELL_PARAMETERS angstrom
4.903 0.000 0.000
0.000 7.582 0.000
0.000 0.000 12.415
ATOMIC_POSITIONS crystal
Cu 0.020 0.116 0.438
Cu 0.480 0.884 0.938
Cu 0.520 0.384 0.562
Cu 0.980 0.616 0.062
Ni 0.004 0.634 0.749
Ni 0.496 0.366 0.249
Ni 0.504 0.866 0.251
Ni 0.996 0.134 0.751
Bi 0.085 0.118 0.134
Bi 0.415 0.882 0.634
Bi 0.585 0.382 0.866
Bi 0.915 0.618 0.366
S 0.216 0.383 0.704
S 0.222 0.638 0.906
S 0.224 0.129 0.907
S 0.276 0.871 0.407
S 0.278 0.362 0.406
S 0.284 0.617 0.204
S 0.716 0.117 0.296
S 0.722 0.862 0.094
S 0.724 0.371 0.093
S 0.776 0.629 0.593
S 0.778 0.138 0.594
S 0.784 0.883 0.796

***

(2)
! La2GdTa2P6 (PBE, relaxed); values from VASP
! Size of the total moment (μB/atom): 0.00
! Total DFT energy (no corrections) (eV/atom): -7.390
&SYSTEM
  ibrav = 0, nat = 11, ntyp = 4
/
ATOMIC_SPECIES
La 138.91 La.upf
Gd 157.25 Gd.upf
Ta 180.95 Ta.upf
P 30.97 P.upf
CELL_PARAMETERS angstrom
-2.365 2.365 11.481
2.365 -2.365 11.481
2.365 2.365 -11.481
ATOMIC_POSITIONS crystal
La 0.170 0.170 0.000
La 0.830 0.830 0.000
Gd 0.000 0.000 0.000
Ta 0.399 0.399 0.000
Ta 0.601 0.601 0.000
P 0.078 0.578 0.500
P 0.297 0.297 0.000
P 0.422 0.922 0.500
P 0.578 0.078 0.500
P 0.703 0.703 0.000
P 0.922 0.422 0.500

***

(3)
! TaInTe3Au (PBE, relaxed); values from VASP
! Size of the total moment (μB/atom): 0.04
! Total DFT energy (no corrections) (eV/atom): -4.620
&SYSTEM
  ibrav = 0, nat = 12, ntyp = 4
/
ATOMIC_SPECIES
Ta 180.95 Ta.upf
In 114.82 In.upf
Te 127.60 Te.upf
Au 196.97 Au.upf
CELL_PARAMETERS angstrom
1.921 -7.891 0.000
1.921 7.891 0.000
0.000 0.000 10.586
ATOMIC_POSITIONS crystal
Ta 0.000 0.000 0.000
Ta 0.000 0.000 0.500
In 0.233 0.767 0.750
In 0.767 0.233 0.250
Te 0.085 0.915 0.250
Te 0.367 0.633 0.033
Te 0.367 0.633 0.467
Te 0.633 0.367 0.533
Te 0.633 0.367 0.967
Te 0.915 0.085 0.750
Au 0.458 0.542 0.250
Au 0.542 0.458 0.750

***

(4)
! BaDyCuTe2S (PBE, relaxed); values from VASP
! Size of the total moment (μB/atom): 0.00
! Total DFT energy (no corrections) (eV/atom): -4.828
&SYSTEM
  ibrav = 0, nat = 12, ntyp = 5
/
ATOMIC_SPECIES
Ba 137.33 Ba.upf
Dy 162.50 Dy.upf
Cu 63.55 Cu.upf
Te 127.60 Te.upf
S 32.06 S.upf
CELL_PARAMETERS angstrom
2.129 -7.453 0.000
2.129 7.453 0.000
0.000 0.000 10.648
ATOMIC_POSITIONS crystal
Ba 0.220 0.780 0.750
Ba 0.780 0.220 0.250
Dy 0.500 0.500 0.000
Dy 0.500 0.500 0.500
Cu 0.023 0.977 0.250
Cu 0.977 0.023 0.750
Te 0.141 0.859 0.063
Te 0.141 0.859 0.437
Te 0.859 0.141 0.563
Te 0.859 0.141 0.937
S 0.442 0.558 0.250
S 0.558 0.442 0.750

***

> Which value of size of the total moment does entry 4 give?

0.00 μB/atom

***

> Which formula does entry 3 have?

TaInTe3Au